Cs2Cu2SnS4 | GGA-PBE | relaxed

```
Cs2Cu2SnS4
1.0
-1.047 0.479 -3.827
-3.501 -7.257 0.050
-4.400 4.887 3.901
Cs Cu Sn S
2 2 1 4
Cartesian
-3.302 -2.628 0.574 Cs
-5.646 0.736 -0.450 Cs
-5.867 -4.943 -1.100 Cu
-3.080 3.051 1.224 Cu
0.000 0.000 0.000 Sn
-2.385 0.839 0.757 S
-6.563 -2.731 -0.633 S
-3.610 -5.256 -1.757 S
-5.338 3.365 1.881 S
```

Properties
total energy: -0.29615 Ry per atom
mass density: 4.74 g/cm³
E_form (uncorrected): -5.852 eV per formula unit
DOS at the Fermi energy: 1.13 states/eV/cell